The following is a DFT calculation (PBE) of a geometry-optimized Ta2BeSe structure.

Results
Its offset from the most stable computed form is 227 meV per atom. The value obtained for the magnetization is 0.00 μB/f.u. The calculation puts the formation energy without anion corrections at 0.156 eV/atom.

a b c (Å): 5.834 4.679 3.055
angles (deg): 81.06 74.07 122.26
Sites, in units of the cell vectors:
Ta1 0.000 0.000 0.000
Ta2 0.500 0.000 0.500
Se1 0.500 0.500 0.000
Be1 0.000 0.500 0.500